Tb3Dy2Rh2 after structural relaxation. Source: the Alexandria database, functional GGA-PBE.

Geometry as extended XYZ:
```
7
Lattice="-2.226 2.193 -2.177 3.272 -3.800 -3.843 -7.231 -3.708 3.660" Properties=species:S:1:pos:R:3 pbc="T T T"
Tb -1.113 1.097 -1.088
Tb -3.721 -1.119 -0.654
Tb -2.464 -4.195 -1.707
Dy -1.057 -1.411 -3.672
Dy -5.128 -3.904 1.312
Rh -5.218 -3.454 -1.476
Rh -0.967 -1.860 -0.885
```

Values from the calculation:
Space-group type: C2/m
Calculated volume in Å³/f.u.: 183.6
ρ in g/cm3: 9.1
Energy of formation in eV per atom: -0.571